This record from Alexandria describes Rb3BAu after structural relaxation. The functional is GGA-PBE.

abc: 6.2943 6.2943 6.2943
angles: 90.00 90.00 90.00
Space group Pm-3m (No. 221)
Unique sites:
Rb 0.0000 0.0000 0.5000 x3
B 0.0000 0.0000 0.0000 x1
Au 0.5000 0.5000 0.5000 x1

## Properties
electronic total energy: -9.3 eV per formula unit
E_form: 0.7176 eV/atom
polymorph energy (0 for the lowest one): 0 meV per atom